Entry from the Alexandria database: La2MnW after structural relaxation (PBEsol).

Calculated values
space-group type: No. 99
relative energy among the computed polymorphs: 0 meV/atom
formation energy from the elements: 31.4 kJ/mol of atoms

abc: 3.113 3.113 9.023
angles: 90.00 90.00 90.00
Element x y z (fractional)
La: 0.000 0.000 0.940
La: 0.500 0.500 0.320
W: 0.500 0.500 0.686
Mn: 0.000 0.000 0.554

Entry from the Alexandria database: LiCu2As after structural relaxation (PBEsol).

Calculated values
space-group type: No. 139
formation energy from the elements: -17.9 kJ/mol of atoms

abc: 3.815 4.393 3.815
angles: 115.74 90.00 115.74
Element x y z (fractional)
As: 0.500 0.000 0.500
Cu: 0.250 0.500 0.750
Cu: 0.750 0.500 0.250
Li: 0.000 0.000 0.000

Entry from the Alexandria database: ScSb2Pb after structural relaxation (PBEsol).

Calculated values
space-group type: No. 216
ΔE_f (raw): -0.03 eV/atom

abc: 5.260 5.260 5.260
angles: 60.00 60.00 60.00
Element x y z (fractional)
Pb: 0.500 0.500 0.500
Sc: 0.250 0.250 0.250
Sb: 0.000 0.000 0.000
Sb: 0.750 0.750 0.750

Entry from the Alexandria database: LaGe2IrRu after structural relaxation (PBEsol).

Calculated values
space-group type: No. 119
formation energy from the elements: -74.1 kJ/mol of atoms

abc: 4.219 4.219 5.935
angles: 110.82 110.82 90.00
Element x y z (fractional)
Ru: 0.250 0.750 0.500
Ir: 0.750 0.250 0.500
Ge: 0.371 0.371 0.741
Ge: 0.629 0.629 0.259
La: 0.000 0.000 0.000